No. 1
VASP calculation (PBE-GGA) on an optimized crystal structure of Li2CuTe.

a b c (Å): 3.462 3.807 5.553
angles (deg): 90.00 90.00 90.00
Element x y z (fractional)
1 Li 0.500 0.500 0.259
2 Li 0.000 0.000 0.984
3 Cu 0.500 0.500 0.756
4 Te 0.000 0.000 0.501

Properties
DOS at the Fermi energy, states/eV/cell: 1.43
Energy, eV per cell: -11.88
Formation energy (no corrections), eV per atom: -0.204
Crystal system: orthorhombic


No. 2
VASP calculation (PBE-GGA) on an optimized crystal structure of K5Tl2S4.

a b c (Å): 4.883 7.161 15.177
angles (deg): 120.60 99.26 90.00
Element x y z (fractional)
1 S 0.019 0.674 0.038
2 S 0.373 0.662 0.747
3 S 0.627 0.338 0.253
4 S 0.981 0.326 0.962
5 K 0.098 0.524 0.196
6 K 0.870 0.917 0.740
7 K 0.130 0.083 0.260
8 K 0.500 0.000 0.000
9 K 0.902 0.476 0.804
10 Tl 0.272 0.408 0.544
11 Tl 0.728 0.592 0.456

Properties
DOS at the Fermi energy, states/eV/cell: 2.48
Energy, eV per cell: -34.20
Formation energy (no corrections), eV per atom: -0.679
Crystal system: monoclinic


No. 3
VASP calculation (PBE-GGA) on an optimized crystal structure of NdHo5Te4.

a b c (Å): 4.185 8.545 9.395
angles (deg): 102.94 102.87 90.00
Element x y z (fractional)
1 Te 0.016 0.267 0.032
2 Te 0.328 0.933 0.655
3 Te 0.984 0.733 0.968
4 Te 0.672 0.067 0.345
5 Ho 0.808 0.644 0.617
6 Ho 0.840 0.214 0.681
7 Ho 0.160 0.786 0.319
8 Ho 0.500 0.500 0.000
9 Ho 0.192 0.356 0.383
10 Nd 0.500 0.000 0.000

Properties
DOS at the Fermi energy, states/eV/cell: 8.53
Energy, eV per cell: -49.10
Formation energy (no corrections), eV per atom: -0.887
Crystal system: monoclinic


No. 4
VASP calculation (PBE-GGA) on an optimized crystal structure of Rb2Sb2Te5.

a b c (Å): 6.162 8.393 9.841
angles (deg): 120.39 109.60 90.34
Element x y z (fractional)
1 Te 0.900 0.415 0.817
2 Te 0.100 0.585 0.183
3 Te 0.000 0.000 0.000
4 Te 0.329 0.931 0.626
5 Te 0.671 0.069 0.374
6 Sb 0.180 0.982 0.320
7 Sb 0.820 0.018 0.680
8 Rb 0.434 0.695 0.878
9 Rb 0.566 0.305 0.122

Properties
Energy, eV per cell: -29.69
Offset from the most stable computed form, meV per atom: 0
Formation energy (no corrections), eV per atom: -0.423
Crystal system: triclinic


No. 5
VASP calculation (PBE-GGA) on an optimized crystal structure of YNiGe3.

a b c (Å): 4.117 4.099 11.050
angles (deg): 100.62 90.00 90.00
Element x y z (fractional)
1 Y 0.500 0.831 0.662
2 Y 0.500 0.169 0.338
3 Ni 0.000 0.391 0.779
4 Ni 0.000 0.609 0.221
5 Ge 0.000 0.943 0.885
6 Ge 0.000 0.717 0.432
7 Ge 0.500 0.558 0.115
8 Ge 0.000 0.283 0.568
9 Ge 0.000 0.057 0.115
10 Ge 0.500 0.442 0.885

Properties
DOS at the Fermi energy, states/eV/cell: 3.87
Energy, eV per cell: -57.99
DFT formation energy, meV per atom: -579.3
Crystal system: monoclinic


No. 6
VASP calculation (PBE-GGA) on an optimized crystal structure of CaLa3Pm6Er2.

a b c (Å): 6.376 6.376 12.080
angles (deg): 95.03 95.03 120.05
Element x y z (fractional)
1 Pm 0.917 0.576 0.753
2 Pm 0.424 0.083 0.247
3 Pm 0.742 0.742 0.247
4 Pm 0.576 0.917 0.753
5 Pm 0.258 0.258 0.753
6 Pm 0.083 0.424 0.247
7 La 0.834 0.166 0.500
8 La 0.500 0.500 0.500
9 La 0.166 0.834 0.500
10 Er 0.667 0.333 0.000
11 Er 0.333 0.667 0.000
12 Ca 0.000 0.000 0.000

Properties
DOS at the Fermi energy, states/eV/cell: 18.94
Energy, eV per cell: -53.85
DFT formation energy, meV per atom: 47.0
Crystal system: monoclinic